*a*
## MnHgF3 (GGA+U)

Data for a relaxed structure of MnHgF3.

The structure belongs to space group Ama2 (No. 40); the cell edges are 4.023, 16.871 and 6.021 Å and the angles 90.00°, 90.00° and 90.00°. The asymmetric unit holds Mn at (0.250, 0.083, 0.000), Hg at (0.250, 0.310, 0.007), F at (0.250, 0.128, 0.311), F at (0.250, 0.178, 0.789) and F at (0.250, 0.451, 0.468).

The calculated density is 5.1 g cm⁻³. Its density of states at the Fermi level is 0.251 states/eV/atom. The volume comes out at 408.62 Å³/cell. As for the total moment: 19.88 μB/cell.

***

*b*
## MnHgF3 (GGA+U)

Data for a relaxed structure of MnHgF3.

The structure belongs to space group Pm-3m (No. 221); the cell edges are 4.579, 4.579 and 4.579 Å and the angles 90.00°, 90.00° and 90.00°. The asymmetric unit holds Mn at (0.000, 0.000, 0.000), Hg at (0.500, 0.500, 0.500) and F at (0.000, 0.500, 0.500).

The calculated density is 5.4 g cm⁻³. Its density of states at the Fermi level is 0.283 states/eV/atom. The volume comes out at 95.99 Å³/cell. As for the total moment: 5.82 μB/cell.

***

Stability summary: most stable *a*, least stable *b*.

***

*a*
## Mn2HgF (GGA+U)

Data for a relaxed structure of Mn2HgF.

The structure belongs to space group Fm-3m (No. 225); the cell edges are 6.691, 6.691 and 6.691 Å and the angles 90.00°, 90.00° and 90.00°. The asymmetric unit holds Mn at (0.250, 0.250, 0.250), Hg at (0.000, 0.000, 0.000) and F at (0.000, 0.000, 0.500).

The calculated density is 7.3 g cm⁻³. Its density of states at the Fermi level is 0.441 states/eV/atom. The volume comes out at 299.50 Å³/cell. As for the total moment: 38.52 μB/cell.

***

*b*
## Mn2HgF (GGA+U)

Data for a relaxed structure of Mn2HgF.

The structure belongs to space group I-42d (No. 122); the cell edges are 6.741, 6.741 and 6.708 Å and the angles 90.00°, 90.00° and 90.00°. The asymmetric unit holds Mn at (0.181, 0.250, 0.125), Hg at (0.000, 0.000, 0.500) and F at (0.000, 0.000, 0.000).

The calculated density is 7.2 g cm⁻³. Its density of states at the Fermi level is 0.538 states/eV/atom. The volume comes out at 304.83 Å³/cell. As for the total moment: 37.99 μB/cell.

***

Stability summary: most stable *b*, least stable *a*.

***

*a*
## MnHgF4 (GGA+U)

Data for a relaxed structure of MnHgF4.

The structure belongs to space group P-42c (No. 112); the cell edges are 4.418, 4.418 and 11.983 Å and the angles 90.00°, 90.00° and 90.00°. The asymmetric unit holds Mn at (0.000, 0.000, 0.000), Hg at (0.000, 0.500, 0.250) and F at (0.230, 0.249, 0.386).

The calculated density is 4.7 g cm⁻³. The volume comes out at 233.93 Å³/cell. As for the total moment: 10.00 μB/cell.

***

*b*
## MnHgF4 (GGA+U)

Data for a relaxed structure of MnHgF4.

The structure belongs to space group P2_1/c (No. 14); the cell edges are 6.181, 5.183 and 6.114 Å and the angles 90.00°, 108.89° and 90.00°. The asymmetric unit holds Mn at (0.000, 0.000, 0.000), Hg at (0.500, 0.000, 0.500), F at (0.131, 0.206, 0.325) and F at (0.333, 0.668, 0.621).

The calculated density is 5.9 g cm⁻³. Its density of states at the Fermi level is 0.011 states/eV/atom. The volume comes out at 185.34 Å³/cell. As for the total moment: 10.00 μB/cell.

***

Stability summary: most stable *b*, least stable *a*.

***

*a*
## Na2MnHgF6 (GGA+U)

Data for a relaxed structure of Na2MnHgF6.

The structure belongs to space group R3 (No. 146, hexagonal axes); the cell edges are 5.7991, 5.7991 and 15.2080 Å and the angles 90.00°, 90.00° and 120.00°. The asymmetric unit holds Na at (0.0000, 0.0000, 0.0000), Na at (0.0000, 0.0000, 0.4949), Mn at (0.0000, 0.0000, 0.7882), Hg at (0.0000, 0.0000, 0.2832), F at (0.0071, 0.6333, 0.0555) and F at (0.0082, 0.2880, 0.8823).

The calculated density is 4.7 g cm⁻³. The volume comes out at 442.94 Å³/cell. As for the total moment: 15.00 μB/cell.

***

*b*
## Na2MnHgF6 (GGA+U)

Data for a relaxed structure of Na2MnHgF6.

The structure belongs to space group Fm-3m (No. 225); the cell edges are 8.759, 8.759 and 8.759 Å and the angles 90.00°, 90.00° and 90.00°. The asymmetric unit holds Na at (0.250, 0.250, 0.250), Mn at (0.000, 0.000, 0.000), Hg at (0.000, 0.000, 0.500) and F at (0.000, 0.000, 0.238).

The calculated density is 4.1 g cm⁻³. Its density of states at the Fermi level is 0.003 states/eV/atom. The volume comes out at 672.04 Å³/cell. As for the total moment: 20.00 μB/cell.

***

Stability summary: most stable *a*, least stable *b*.

***

*a*
## MnHgOF2 (GGA+U)

Data for a relaxed structure of MnHgOF2.

The structure belongs to space group P4/mmm (No. 123); the cell edges are 4.100, 4.100 and 4.071 Å and the angles 90.00°, 90.00° and 90.00°. The asymmetric unit holds Mn at (0.000, 0.000, 0.000), Hg at (0.500, 0.500, 0.500), O at (0.000, 0.000, 0.500) and F at (0.000, 0.500, 0.000).

The calculated density is 7.5 g cm⁻³. Its density of states at the Fermi level is 0.337 states/eV/atom. The volume comes out at 68.44 Å³/cell. As for the total moment: 4.39 μB/cell.

***

*b*
## MnHgOF2 (GGA+U)

Data for a relaxed structure of MnHgOF2.

The structure belongs to space group P4/mmm (No. 123); the cell edges are 4.517, 4.517 and 4.264 Å and the angles 90.00°, 90.00° and 90.00°. The asymmetric unit holds Mn at (0.000, 0.000, 0.000), Hg at (0.500, 0.500, 0.500), O at (0.500, 0.500, 0.000) and F at (0.000, 0.500, 0.500).

The calculated density is 5.9 g cm⁻³. Its density of states at the Fermi level is 0.253 states/eV/atom. The volume comes out at 87.00 Å³/cell. As for the total moment: 5.17 μB/cell.

***

Stability summary: most stable *a*, least stable *b*.

***

*a*
## MnHgSF2 (GGA+U)

Data for a relaxed structure of MnHgSF2.

The structure belongs to space group P4/mmm (No. 123); the cell edges are 3.885, 3.885 and 7.321 Å and the angles 90.00°, 90.00° and 90.00°. The asymmetric unit holds Mn at (0.000, 0.000, 0.000), Hg at (0.000, 0.000, 0.500), S at (0.500, 0.500, 0.500) and F at (0.000, 0.500, 0.000).

The calculated density is 4.9 g cm⁻³. Its density of states at the Fermi level is 0.176 states/eV/atom. The volume comes out at 110.50 Å³/cell. As for the total moment: 4.89 μB/cell.

***

*b*
## MnHgSF2 (GGA+U)

Data for a relaxed structure of MnHgSF2.

The structure belongs to space group P4/mmm (No. 123); the cell edges are 3.959, 3.959 and 5.622 Å and the angles 90.00°, 90.00° and 90.00°. The asymmetric unit holds Mn at (0.000, 0.000, 0.000), Hg at (0.500, 0.500, 0.500), S at (0.000, 0.000, 0.500) and F at (0.000, 0.500, 0.000).

The calculated density is 6.1 g cm⁻³. Its density of states at the Fermi level is 0.134 states/eV/atom. The volume comes out at 88.11 Å³/cell. As for the total moment: 4.71 μB/cell.

***

Stability summary: most stable *b*, least stable *a*.

***

*a*
## Hg3MoF (GGA+U)

Data for a relaxed structure of Hg3MoF.

The structure belongs to space group Pm-3m (No. 221); the cell edges are 5.692, 5.692 and 5.692 Å and the angles 90.00°, 90.00° and 90.00°. The asymmetric unit holds Hg at (0.000, 0.000, 0.500), Mo at (0.000, 0.000, 0.000) and F at (0.500, 0.500, 0.500).

The calculated density is 6.5 g cm⁻³. Its density of states at the Fermi level is 0.321 states/eV/atom. The volume comes out at 184.42 Å³/cell. As for the total moment: 4.82 μB/cell.

***

*b*
## Hg3MoF (GGA+U)

Data for a relaxed structure of Hg3MoF.

The structure belongs to space group Pm-3m (No. 221); the cell edges are 5.058, 5.058 and 5.058 Å and the angles 90.00°, 90.00° and 90.00°. The asymmetric unit holds Hg at (0.000, 0.000, 0.500), Mo at (0.500, 0.500, 0.500) and F at (0.000, 0.000, 0.000).

The calculated density is 9.2 g cm⁻³. Its density of states at the Fermi level is 0.421 states/eV/atom. The volume comes out at 129.42 Å³/cell. As for the total moment: 4.86 μB/cell.

***

Stability summary: most stable *a*, least stable *b*.

***

*a*
## HgMoF2 (GGA+U)

Data for a relaxed structure of HgMoF2.

The structure belongs to space group Fm-3m (No. 225); the cell edges are 6.385, 6.385 and 6.385 Å and the angles 90.00°, 90.00° and 90.00°. The asymmetric unit holds Hg at (0.000, 0.000, 0.000), Mo at (0.000, 0.000, 0.500) and F at (0.250, 0.250, 0.250).

The calculated density is 8.5 g cm⁻³. Its density of states at the Fermi level is 0.859 states/eV/atom. The volume comes out at 260.36 Å³/cell. As for the total moment: 16.00 μB/cell.

***

*b*
## HgMoF2 (GGA+U)

Data for a relaxed structure of HgMoF2.

The structure belongs to space group R-3m (No. 166, hexagonal axes); the cell edges are 3.2871, 3.2871 and 28.0571 Å and the angles 90.00°, 90.00° and 120.00°. The asymmetric unit holds Hg at (0.0000, 0.0000, 0.0000), Mo at (0.0000, 0.0000, 0.5000) and F at (0.0000, 0.0000, 0.1242).

The calculated density is 6.3 g cm⁻³. Its density of states at the Fermi level is 0.179 states/eV/atom. The volume comes out at 262.55 Å³/cell. As for the total moment: 6.07 μB/cell.

***

*c*
## HgMoF2 (GGA+U)

Data for a relaxed structure of HgMoF2.

The structure belongs to space group I-42d (No. 122); the cell edges are 5.640, 5.640 and 13.284 Å and the angles 90.00°, 90.00° and 90.00°. The asymmetric unit holds Hg at (0.000, 0.000, 0.000), Mo at (0.000, 0.000, 0.500) and F at (0.003, 0.250, 0.625).

The calculated density is 5.3 g cm⁻³. Its density of states at the Fermi level is 0.000 states/eV/atom. The volume comes out at 422.59 Å³/cell. As for the total moment: 16.00 μB/cell.

***

Stability summary: most stable *c*, least stable *a*.

***

*a*
## HgMoN2F (GGA+U)

Data for a relaxed structure of HgMoN2F.

The structure belongs to space group P4/mmm (No. 123); the cell edges are 4.020, 4.020 and 4.213 Å and the angles 90.00°, 90.00° and 90.00°. The asymmetric unit holds Hg at (0.000, 0.000, 0.000), Mo at (0.500, 0.500, 0.500), N at (0.000, 0.500, 0.500) and F at (0.500, 0.500, 0.000).

The calculated density is 8.4 g cm⁻³. Its density of states at the Fermi level is 0.594 states/eV/atom. The volume comes out at 68.08 Å³/cell. As for the total moment: 0.27 μB/cell.

***

*b*
## HgMoN2F (GGA+U)

Data for a relaxed structure of HgMoN2F.

The structure belongs to space group P4/mmm (No. 123); the cell edges are 4.223, 4.223 and 4.507 Å and the angles 90.00°, 90.00° and 90.00°. The asymmetric unit holds Hg at (0.000, 0.000, 0.000), Mo at (0.500, 0.500, 0.500), N at (0.000, 0.500, 0.000) and F at (0.000, 0.000, 0.500).

The calculated density is 7.1 g cm⁻³. Its density of states at the Fermi level is 0.280 states/eV/atom. The volume comes out at 80.37 Å³/cell. As for the total moment: 2.23 μB/cell.

***

Stability summary: most stable *a*, least stable *b*.

***

*a*
## HgMoNF2 (GGA+U)

Data for a relaxed structure of HgMoNF2.

The structure belongs to space group P4/mmm (No. 123); the cell edges are 4.572, 4.572 and 4.180 Å and the angles 90.00°, 90.00° and 90.00°. The asymmetric unit holds Hg at (0.000, 0.000, 0.000), Mo at (0.500, 0.500, 0.500), N at (0.000, 0.000, 0.500) and F at (0.000, 0.500, 0.000).

The calculated density is 6.6 g cm⁻³. Its density of states at the Fermi level is 0.264 states/eV/atom. The volume comes out at 87.36 Å³/cell. As for the total moment: 3.41 μB/cell.

***

*b*
## HgMoNF2 (GGA+U)

Data for a relaxed structure of HgMoNF2.

The structure belongs to space group P4/mmm (No. 123); the cell edges are 4.315, 4.315 and 4.068 Å and the angles 90.00°, 90.00° and 90.00°. The asymmetric unit holds Hg at (0.000, 0.000, 0.000), Mo at (0.500, 0.500, 0.500), N at (0.500, 0.500, 0.000) and F at (0.000, 0.500, 0.500).

The calculated density is 7.6 g cm⁻³. Its density of states at the Fermi level is 0.383 states/eV/atom. The volume comes out at 75.74 Å³/cell. As for the total moment: 1.65 μB/cell.

***

Stability summary: most stable *b*, least stable *a*.

***

*a*
## HgMoOF2 (GGA+U)

Data for a relaxed structure of HgMoOF2.

The structure belongs to space group P4/mmm (No. 123); the cell edges are 4.507, 4.507 and 4.328 Å and the angles 90.00°, 90.00° and 90.00°. The asymmetric unit holds Hg at (0.000, 0.000, 0.000), Mo at (0.500, 0.500, 0.500), O at (0.000, 0.000, 0.500) and F at (0.000, 0.500, 0.000).

The calculated density is 6.6 g cm⁻³. Its density of states at the Fermi level is 0.390 states/eV/atom. The volume comes out at 87.91 Å³/cell. As for the total moment: 4.15 μB/cell.

***

*b*
## HgMoOF2 (GGA+U)

Data for a relaxed structure of HgMoOF2.

The structure belongs to space group P4/mmm (No. 123); the cell edges are 4.346, 4.346 and 4.049 Å and the angles 90.00°, 90.00° and 90.00°. The asymmetric unit holds Hg at (0.000, 0.000, 0.000), Mo at (0.500, 0.500, 0.500), O at (0.500, 0.500, 0.000) and F at (0.000, 0.500, 0.500).

The calculated density is 7.6 g cm⁻³. Its density of states at the Fermi level is 0.462 states/eV/atom. The volume comes out at 76.47 Å³/cell. As for the total moment: 2.05 μB/cell.

***

Stability summary: most stable *b*, least stable *a*.